# CdS

An optimized crystal structure of CdS (PBE-GGA, Alexandria via LeMat-Bulk).

Cell lengths 10.1074, 10.1074, 4.2972 Å; angles 90.00, 90.00, 120.00 degrees
Space group P6_3/m (No. 176)
Unique sites:
Cd (0.0778, 0.6680, 0.2500)
S (0.0834, 0.4077, 0.2500)

The calculation puts the calculated volume at 31.68 Å³/atom. The value obtained for the formation energy without anion corrections is -0.564 eV per atom.